Entry 1:
The following is a DFT calculation (meta-GGA SCAN) of a crystal of ScBePt2 relaxed with PBEsol.

Output
Energy relative to the elements (eV/f.u.): -4.0
Total magnetic moment (μB/f.u.): 0.00
Energy above the most stable polymorph in this dataset (meV/atom): 155

```
ScBePt2
1.0
4.3461 0.0000 0.0000
2.1731 3.7639 0.0000
2.1731 1.2546 3.5486
Sc Pt Be
1 2 1
Direct
0.5000 0.5000 0.5000
0.7500 0.7500 0.7500
0.2500 0.2500 0.2500
0.0000 0.0000 0.0000
```

***

Entry 2:
The following is a DFT calculation (meta-GGA SCAN) of a crystal of ScBe2Pt relaxed with PBEsol.

Output
Energy relative to the elements (eV/f.u.): -3.3
Total magnetic moment (μB/f.u.): 0.00
Energy above the most stable polymorph in this dataset (meV/atom): 6

```
ScBe2Pt
1.0
4.1141 0.0000 0.0000
2.0570 3.5629 0.0000
2.0570 1.1876 3.3591
Pt Be Sc
1 2 1
Direct
0.0000 0.0000 0.0000
0.2500 0.2500 0.2500
0.7500 0.7500 0.7500
0.5000 0.5000 0.5000
```

***

Entry 3:
The following is a DFT calculation (meta-GGA SCAN) of a crystal of SrScBePt2 relaxed with PBEsol.

Output
Energy relative to the elements (eV/f.u.): -1.0
Total magnetic moment (μB/f.u.): 0.00

```
SrScBePt2
1.0
4.3733 0.0000 0.0000
0.0000 4.3733 0.0000
0.0000 0.0000 4.8385
Sr Sc Be Pt
1 1 1 2
Direct
0.0000 0.0000 0.5000
0.5000 0.5000 0.5000
0.0000 0.0000 0.0000
0.5000 0.0000 0.0000
0.0000 0.5000 0.0000
```

***

Entry 4:
The following is a DFT calculation (meta-GGA SCAN) of a crystal of BePt2Se2 relaxed with PBEsol.

Output
Total magnetic moment (μB/f.u.): 0.00
Formation energy without anion corrections (eV/f.u.): -0.32

```
BePt2Se2
1.0
4.9229 0.0000 0.0000
0.0000 5.8212 0.0000
0.0000 0.0000 5.8212
Be Pt Se
2 4 4
Direct
0.0000 0.0000 0.0000
0.0000 0.5000 0.5000
0.0000 0.3379 0.8379
0.0000 0.1621 0.3379
0.0000 0.6621 0.1621
0.0000 0.8379 0.6621
0.5000 0.7249 0.2249
0.5000 0.7751 0.7249
0.5000 0.2249 0.2751
0.5000 0.2751 0.7751
```